1.
Tb2CSeS | OQMD via LeMat-Bulk | GGA-PBE | optimized geometry; symmetry = P3m1 (156); uncorrected energy = -29.56 eV for the cell shown; crystal system = trigonal; size of the total moment = 0.71 μB per cell
1.0
3.842 0.000 0.000
-1.921 3.327 0.000
0.000 0.000 9.681
Tb C Se S
2 1 1 1
Cartesian
0.000 0.000 0.000
0.000 2.218 2.944
1.921 1.109 1.354
0.000 2.218 7.949
0.000 0.000 4.366

2.
Tc2CSeS | OQMD via LeMat-Bulk | GGA-PBE | optimized geometry; symmetry = P3m1 (156); uncorrected energy = -37.96 eV for the cell shown; crystal system = trigonal; size of the total moment = 0.00 μB per cell
1.0
3.303 0.000 0.000
-1.652 2.861 0.000
0.000 0.000 9.042
Tc C Se S
2 1 1 1
Cartesian
0.000 0.000 0.000
0.000 1.907 2.034
1.652 0.954 0.578
0.000 1.907 7.187
0.000 0.000 3.466

3.
Tm4C2SeS | OQMD via LeMat-Bulk | GGA-PBE | optimized geometry; symmetry = P-6m2 (187); uncorrected energy = -53.94 eV for the cell shown; crystal system = hexagonal; size of the total moment = 0.01 μB per cell
1.0
3.670 0.000 0.000
-1.835 3.179 0.000
0.000 0.000 12.863
Tm C Se S
4 2 1 1
Cartesian
0.000 0.000 1.852
0.000 0.000 11.010
1.835 1.060 4.459
1.835 1.060 8.404
0.000 2.119 3.159
0.000 2.119 9.704
0.000 0.000 6.431
1.835 1.060 0.000

4.
Zr4C2SeS | OQMD via LeMat-Bulk | GGA-PBE | optimized geometry; symmetry = P-6m2 (187); uncorrected energy = -70.40 eV for the cell shown; crystal system = hexagonal; size of the total moment = 0.00 μB per cell
1.0
3.454 0.000 0.000
-1.727 2.992 0.000
0.000 0.000 12.464
Zr C Se S
4 2 1 1
Cartesian
0.000 0.000 1.825
0.000 0.000 10.639
0.000 1.994 4.273
0.000 1.994 8.191
1.727 0.997 3.051
1.727 0.997 9.413
0.000 0.000 6.232
0.000 1.994 0.000

5.
Ta4SiC2S | OQMD via LeMat-Bulk | GGA-PBE | optimized geometry; symmetry = P-6m2 (187); uncorrected energy = -80.24 eV for the cell shown; crystal system = hexagonal; size of the total moment = 0.00 μB per cell
1.0
3.272 0.000 0.000
-1.636 2.834 0.000
0.000 0.000 11.905
Ta Si C S
4 1 2 1
Cartesian
0.000 0.000 1.791
0.000 0.000 10.114
0.000 1.889 4.086
0.000 1.889 7.819
0.000 0.000 5.953
1.636 0.945 2.930
1.636 0.945 8.976
0.000 1.889 0.000

6.
SiW4C2S | OQMD via LeMat-Bulk | GGA-PBE | optimized geometry; symmetry = P-6m2 (187); uncorrected energy = -78.72 eV for the cell shown; crystal system = hexagonal; size of the total moment = 0.01 μB per cell
1.0
3.165 0.000 0.000
-1.583 2.741 0.000
0.000 0.000 12.115
Si W C S
1 4 2 1
Cartesian
0.000 0.000 0.000
0.000 0.000 4.114
0.000 0.000 8.001
1.583 0.914 1.866
1.583 0.914 10.249
0.000 1.827 3.044
0.000 1.827 9.071
1.583 0.914 6.058

7.
Sm3CS2 | OQMD via LeMat-Bulk | GGA-PBE | optimized geometry; symmetry = Immm (71); uncorrected energy = -40.48 eV for the cell shown; crystal system = orthorhombic; size of the total moment = 0.01 μB per cell
1.0
-1.922 2.777 6.008
1.922 -2.777 6.008
1.922 2.777 -6.008
Sm C S
3 1 2
Cartesian
0.000 0.000 0.000
0.000 0.000 4.281
0.000 0.000 7.734
0.000 2.777 0.000
1.922 0.000 2.063
0.000 2.777 3.945

8.
SmZr4C2S | OQMD via LeMat-Bulk | GGA-PBE | optimized geometry; symmetry = P-6m2 (187); uncorrected energy = -68.36 eV for the cell shown; crystal system = hexagonal; size of the total moment = 0.63 μB per cell
1.0
3.396 0.000 0.000
-1.698 2.941 0.000
0.000 0.000 14.700
Sm Zr C S
1 4 2 1
Cartesian
0.000 0.000 0.000
0.000 0.000 5.521
0.000 0.000 9.179
0.000 1.961 3.011
0.000 1.961 11.689
1.698 0.980 4.262
1.698 0.980 10.438
0.000 1.961 7.350

Q: size of the total moment of number 2 (Tc2CSeS)?
A: 0.00 μB per cell

Q: Which of these has the lowest uncorrected energy?
A: Ta4SiC2S